No. 1
Entry from the Alexandria database: SrCo2Tc after structural relaxation (GGA-PBE).

Unit cell a=5.3273 b=5.3273 c=5.3273 alpha=137.41 beta=137.41 gamma=61.80
Closest atoms and distances in Å follow each position.
Atoms (fractional coordinates):
Sr 0.0000 0.0000 0.0000  8 Co 2.74-2.99, 4 Tc 2.99
Co 0.5000 0.5000 0.0000  4 Sr 2.74, 4 Co 2.99, 4 Tc 2.99
Co 0.7500 0.2500 0.5000  4 Tc 2.74, 4 Co 2.99, 4 Sr 2.99
Tc 0.2500 0.7500 0.5000  8 Co 2.74-2.99, 4 Sr 2.99

Values from the calculation:
* excess energy over the best structure of this formula in the dataset: 752 meV/atom
* ΔE_f: 1033 meV/atom

No. 2
Entry from the Alexandria database: BeZnBr2 after structural relaxation (GGA-PBE).

Unit cell a=3.7507 b=3.7526 c=7.5436 alpha=90.00 beta=90.00 gamma=90.00
Closest atoms and distances in Å follow each position.
Atoms (fractional coordinates):
Be 0.0000 0.0000 0.0000  4 Br 2.65
Zn 0.0000 0.5000 0.5000  4 Br 2.65
Br 0.5000 0.0000 0.5000  4 Zn 2.65
Br 0.5000 0.5000 0.0000  4 Be 2.65

Values from the calculation:
* excess energy over the best structure of this formula in the dataset: 623 meV/atom
* formation energy from raw total energies: 1.065 eV per formula unit

No. 3
Entry from the Alexandria database: NpIr2Rh6 after structural relaxation (GGA-PBE).

Unit cell a=7.6040 b=7.6040 c=2.7889 alpha=90.00 beta=90.00 gamma=120.00
Closest atoms and distances in Å follow each position.
Atoms (fractional coordinates):
Np 0.0000 0.0000 0.0000  6 Rh 2.61, 2 Np 2.79
Ir 0.3333 0.6667 0.5000  6 Rh 2.64, 2 Ir 2.79
Ir 0.6667 0.3333 0.5000  6 Rh 2.64, 2 Ir 2.79
Rh 0.0000 0.3332 0.2305  1 Np 2.61, 2 Ir 2.64, 5 Rh 2.79-2.84
Rh 0.0000 0.6668 0.7695  1 Np 2.61, 2 Ir 2.64, 5 Rh 2.79-2.84
Rh 0.3332 0.0000 0.2305  1 Np 2.61, 2 Ir 2.64, 5 Rh 2.79-2.84
Rh 0.3332 0.3332 0.7695  1 Np 2.61, 2 Ir 2.64, 5 Rh 2.79-2.84
Rh 0.6668 0.0000 0.7695  1 Np 2.61, 2 Ir 2.64, 5 Rh 2.79-2.84
Rh 0.6668 0.6668 0.2305  1 Np 2.61, 2 Ir 2.64, 5 Rh 2.79-2.84

Values from the calculation:
* ΔE_f: 179 meV/atom

No. 4
Entry from the Alexandria database: PaSnIr2 after structural relaxation (GGA-PBE).

Unit cell a=3.5743 b=3.5743 c=6.2154 alpha=90.00 beta=90.00 gamma=90.00
Closest atoms and distances in Å follow each position.
Atoms (fractional coordinates):
Pa 0.0000 0.0000 0.0000  8 Ir 2.96, 2 Sn 3.11
Sn 0.0000 0.0000 0.5000  8 Ir 2.97, 2 Pa 3.11
Ir 0.5000 0.5000 0.2494  4 Pa 2.96, 4 Sn 2.97, 2 Ir 3.10-3.11
Ir 0.5000 0.5000 0.7506  4 Pa 2.96, 4 Sn 2.97, 2 Ir 3.10-3.11

Values from the calculation:
* excess energy over the best structure of this formula in the dataset: 121 meV/atom
* ΔE_f: -413 meV/atom

No. 5
Entry from the Alexandria database: Ce6CoBi5 after structural relaxation (GGA-PBE).

Unit cell a=7.7665 b=7.7665 c=7.7466 alpha=99.77 beta=99.77 gamma=119.72
Closest atoms and distances in Å follow each position.
Atoms (fractional coordinates):
Ce 0.0729 0.3705 0.7244  1 Co 2.82
Ce 0.2181 0.2181 0.2612  1 Co 2.91, 2 Bi 3.21
Ce 0.3705 0.0729 0.7244  1 Co 2.82
Ce 0.6295 0.9271 0.2756  1 Co 2.82
Ce 0.7819 0.7819 0.7388  1 Co 2.91, 2 Bi 3.21
Ce 0.9271 0.6295 0.2756  1 Co 2.82
Co 0.0000 0.0000 0.5000  6 Ce 2.82-2.91
Bi 0.1833 0.8167 0.0000  6 Ce 3.20-3.35
Bi 0.3364 0.6636 0.5000  6 Ce 3.21
Bi 0.5000 0.5000 0.0000  6 Ce 3.18-3.45
Bi 0.6636 0.3364 0.5000  6 Ce 3.21
Bi 0.8167 0.1833 0.0000  6 Ce 3.20-3.35

Values from the calculation:
* ΔE_f: -589 meV/atom

No. 6
Entry from the Alexandria database: NbCrOs2Pb after structural relaxation (GGA-PBE).

Unit cell a=4.4824 b=4.4824 c=4.8384 alpha=90.00 beta=90.00 gamma=90.00
Closest atoms and distances in Å follow each position.
Atoms (fractional coordinates):
Nb 0.0000 0.0000 0.0000  4 Pb 3.17, 8 Os 3.30
Cr 0.5000 0.5000 0.5000  4 Os 2.24, 2 Pb 2.42
Os 0.0000 0.5000 0.5000  2 Cr 2.24
Os 0.5000 0.0000 0.5000  2 Cr 2.24
Pb 0.5000 0.5000 0.0000  2 Cr 2.42

Values from the calculation:
* ΔE_f: 1516 meV/atom

No. 7
Entry from the Alexandria database: SmEr6In6 after structural relaxation (GGA-PBE).

Unit cell a=6.2191 b=6.2191 c=10.6945 alpha=90.00 beta=90.00 gamma=120.00
Closest atoms and distances in Å follow each position.
Atoms (fractional coordinates):
Sm 0.0000 0.0000 0.0000  8 Er 3.59-3.65
Er 0.0000 0.0000 0.3410  6 In 3.27, 1 Er 3.40, 1 Sm 3.65
Er 0.0000 0.0000 0.6590  6 In 3.27, 1 Er 3.40, 1 Sm 3.65
Er 0.3333 0.6667 0.0000  6 In 3.18
Er 0.3333 0.6667 0.5000  6 In 3.26, 3 Er 3.59
Er 0.6667 0.3333 0.0000  6 In 3.18
Er 0.6667 0.3333 0.5000  6 In 3.26, 3 Er 3.59
In 0.0000 0.5000 0.2454  4 In 3.11, 6 Er 3.18-3.27
In 0.0000 0.5000 0.7546  4 In 3.11, 6 Er 3.18-3.27
In 0.5000 0.0000 0.2454  4 In 3.11, 6 Er 3.18-3.27
In 0.5000 0.0000 0.7546  4 In 3.11, 6 Er 3.18-3.27
In 0.5000 0.5000 0.2454  4 In 3.11, 6 Er 3.18-3.27
In 0.5000 0.5000 0.7546  4 In 3.11, 6 Er 3.18-3.27

Values from the calculation:
* ΔE_f: -317 meV/atom

No. 8
Entry from the Alexandria database: LaNi5 after structural relaxation (GGA-PBE).

Unit cell a=4.9961 b=4.9961 c=3.9798 alpha=90.00 beta=90.00 gamma=120.00
Closest atoms and distances in Å follow each position.
Atoms (fractional coordinates):
La 0.0000 0.0000 0.0000  18 Ni 2.88-3.19
Ni 0.0000 0.5000 0.5000  8 Ni 2.46-2.50
Ni 0.3333 0.6667 0.0000  6 Ni 2.46
Ni 0.5000 0.0000 0.5000  8 Ni 2.46-2.50
Ni 0.5000 0.5000 0.5000  8 Ni 2.46-2.50
Ni 0.6667 0.3333 0.0000  6 Ni 2.46

Values from the calculation:
* ΔE_f: -282 meV/atom

No. 9
Entry from the Alexandria database: HfSe3Cl after structural relaxation (GGA-PBE).

Unit cell a=5.1692 b=5.1692 c=5.1692 alpha=90.00 beta=90.00 gamma=90.00
Closest atoms and distances in Å follow each position.
Atoms (fractional coordinates):
Hf 0.0000 0.0000 0.0000  6 Se 2.58
Se 0.0000 0.0000 0.5000  2 Hf 2.58
Se 0.0000 0.5000 0.0000  2 Hf 2.58
Se 0.5000 0.0000 0.0000  2 Hf 2.58
Cl 0.5000 0.5000 0.5000  12 Se 3.66

Values from the calculation:
* excess energy over the best structure of this formula in the dataset: 0 meV/atom
* formation energy from raw total energies: -1.411 eV per formula unit

No. 10
Entry from the Alexandria database: VCd2Cu after structural relaxation (GGA-PBE).

Unit cell a=4.6235 b=4.6235 c=4.6235 alpha=60.00 beta=60.00 gamma=60.00
Closest atoms and distances in Å follow each position.
Atoms (fractional coordinates):
V 0.0000 0.0000 0.0000  8 Cd 2.83
Cd 0.2500 0.2500 0.2500  4 Cu 2.83, 4 V 2.83
Cd 0.7500 0.7500 0.7500  4 Cu 2.83, 4 V 2.83
Cu 0.5000 0.5000 0.5000  8 Cd 2.83

Values from the calculation:
* excess energy over the best structure of this formula in the dataset: 0 meV/atom
* ΔE_f: 336 meV/atom

No. 11
Entry from the Alexandria database: BeCdW2 after structural relaxation (GGA-PBE).

Unit cell a=5.1966 b=5.1966 c=2.7067 alpha=96.45 beta=96.45 gamma=118.48
Closest atoms and distances in Å follow each position.
Atoms (fractional coordinates):
Be 0.0000 0.0000 0.0000  2 Cd 2.66, 2 Be 2.71, 4 W 2.79
Cd 0.5000 0.5000 0.0000  2 Be 2.66, 2 Cd 2.71, 4 W 2.79
W 0.0000 0.5000 0.5000  4 W 2.66-2.71, 2 Cd 2.79, 2 Be 2.79
W 0.5000 0.0000 0.5000  4 W 2.66-2.71, 2 Cd 2.79, 2 Be 2.79

Values from the calculation:
* excess energy over the best structure of this formula in the dataset: 252 meV/atom
* ΔE_f: 603 meV/atom

No. 12
Entry from the Alexandria database: Cs2HgS after structural relaxation (GGA-PBE).

Unit cell a=5.7829 b=5.7829 c=4.7057 alpha=90.00 beta=90.00 gamma=90.00
Closest atoms and distances in Å follow each position.
Atoms (fractional coordinates):
Cs 0.0000 0.5000 0.0000  4 S 3.73, 4 Hg 3.73, 4 Cs 4.09
Cs 0.5000 0.0000 0.0000  4 S 3.73, 4 Hg 3.73, 4 Cs 4.09
Hg 0.0000 0.0000 0.5000  8 Cs 3.73, 4 S 4.09
S 0.5000 0.5000 0.5000  8 Cs 3.73, 4 Hg 4.09

Values from the calculation:
* excess energy over the best structure of this formula in the dataset: 124 meV/atom
* formation energy from raw total energies: -2.381 eV per formula unit

Number 1: density 7.364 g/cm3, E_tot -22.13 eV for the cell shown. Number 2: density 3.663 g/cm3, E_tot -7.28 eV for the cell shown. Number 3: density 14.731 g/cm3, E_tot -73.16 eV for the cell shown. Number 4: density 15.354 g/cm3, E_tot -32.87 eV for the cell shown. Number 5: density 8.455 g/cm3, E_tot -69.18 eV for the cell shown. Number 6: density 12.513 g/cm3, E_tot -38.28 eV for the cell shown. Number 7: density 8.543 g/cm3, E_tot -52.65 eV for the cell shown. Number 8: density 8.346 g/cm3, E_tot -35.52 eV for the cell shown. Number 9: density 5.420 g/cm3, E_tot -23.66 eV for the cell shown. Number 10: density 8.062 g/cm3, E_tot -13.70 eV for the cell shown. Number 11: density 12.958 g/cm3, E_tot -28.14 eV for the cell shown. Number 12: density 5.260 g/cm3, E_tot -8.52 eV for the cell shown.